No. 1
Below is HgGeSb3 after structural relaxation, with properties calculated at the PBE level.

Cell lengths 5.4074, 5.4074, 5.4074 Å; angles 90.00, 90.00, 90.00 degrees
Last column: nearest neighbours and their distance in Å.
Sites, in units of the cell vectors:
Sb 0.0000 0.5000 0.0000  2 Ge 2.70
Sb 0.0000 0.0000 0.5000  2 Ge 2.70
Sb 0.5000 0.0000 0.0000  2 Ge 2.70
Ge 0.0000 0.0000 0.0000  6 Sb 2.70
Hg 0.5000 0.5000 0.5000  12 Sb 3.82

## Properties
Spin magnetization: 0.0 μB per formula unit
DOS at the Fermi energy: 5.7 states/eV/cell
Energy: -0.1045 hartree per atom
Distance to the lowest polymorph of the same formula: 0 meV/atom
Crystal system: cubic
Raw formation energy: 0.614 eV per atom

---

No. 2
Below is KPrPb2Se4 after structural relaxation, with properties calculated at the PBE level.

Cell lengths 4.3968, 7.6264, 7.6614 Å; angles 71.51, 90.00, 90.00 degrees
Last column: nearest neighbours and their distance in Å.
Sites, in units of the cell vectors:
K 0.5000 0.5000 0.0000  6 Se 3.16-3.21
Pr 0.0000 0.5000 0.5000  6 Se 3.00-3.06
Pb 0.0000 0.0000 0.0000  6 Se 3.21
Pb 0.5000 0.0000 0.5000  6 Se 3.05-3.07
Se 0.0000 0.7525 0.7304  1 Pr 3.00, 3 Pb 3.07-3.21, 2 K 3.21
Se 0.0000 0.2475 0.2696  1 Pr 3.00, 3 Pb 3.07-3.21, 2 K 3.21
Se 0.5000 0.7425 0.2661  3 Pb 3.05-3.21, 2 Pr 3.06, 1 K 3.16
Se 0.5000 0.2575 0.7339  3 Pb 3.05-3.21, 2 Pr 3.06, 1 K 3.16

## Properties
Spin magnetization: 0.0 μB per formula unit
Energy: -0.1653 hartree per atom
Crystal system: monoclinic
Raw formation energy: -1.093 eV per atom

---

No. 3
Below is RbPmSe2 after structural relaxation, with properties calculated at the PBE level.

Cell lengths 4.3277, 4.3277, 8.5279 Å; angles 75.30, 75.30, 60.00 degrees
Last column: nearest neighbours and their distance in Å.
Sites, in units of the cell vectors:
Rb 0.4980 0.4980 0.5059  6 Se 3.46-3.55
Pm 0.6673 0.6673 0.9980  6 Se 2.98
Se 0.0669 0.0669 0.7993  3 Pm 2.98
Se 0.2677 0.2677 0.1968  3 Pm 2.98

## Properties
Spin magnetization: 0.0 μB per formula unit
DOS at the Fermi energy: 0.0 states/eV/cell
Energy: -0.1797 hartree per atom
Crystal system: trigonal
Raw formation energy: -1.718 eV per atom

---

No. 4
Below is TlHg3Mo after structural relaxation, with properties calculated at the PBE level.

Cell lengths 5.4320, 5.4320, 5.4320 Å; angles 90.00, 90.00, 90.00 degrees
Last column: nearest neighbours and their distance in Å.
Sites, in units of the cell vectors:
Mo 0.0000 0.0000 0.0000  6 Hg 2.72
Tl 0.5000 0.5000 0.5000  12 Hg 3.84
Hg 0.0000 0.5000 0.0000  2 Mo 2.72
Hg 0.0000 0.0000 0.5000  2 Mo 2.72
Hg 0.5000 0.0000 0.0000  2 Mo 2.72

## Properties
ΔE_f: 0.69 eV per atom
Spin magnetization: 2.4 μB per formula unit
DOS at the Fermi energy: 5.3 states/eV/cell
Energy: -0.0785 hartree per atom
Distance to the lowest polymorph of the same formula: 0 meV/atom
Crystal system: cubic

---

No. 5
Below is RhC3 after structural relaxation, with properties calculated at the PBE level.

Cell lengths 5.0455, 2.5827, 6.9788 Å; angles 90.00, 128.37, 90.00 degrees
Last column: nearest neighbours and their distance in Å.
Sites, in units of the cell vectors:
C 0.9904 0.0000 0.2917  3 C 1.50-1.51
C 0.9904 0.5000 0.7917  3 C 1.50-1.51
C 0.9941 0.0000 0.6805  3 C 1.51
C 0.9941 0.5000 0.1805  3 C 1.51
C 0.1581 0.0000 0.5593  2 C 1.50-1.51
C 0.1581 0.5000 0.0593  2 C 1.50-1.51
Rh 0.5584 0.0000 0.2908  4 C 2.08-2.19
Rh 0.5584 0.5000 0.7908  4 C 2.08-2.19

## Properties
ΔE_f: 0.77 eV per atom
Spin magnetization: 0.0 μB per formula unit
DOS at the Fermi energy: 2.5 states/eV/cell
Energy: -0.2934 hartree per atom
Distance to the lowest polymorph of the same formula: 205 meV/atom
Crystal system: monoclinic

---

No. 6
Below is TaInSbI2 after structural relaxation, with properties calculated at the PBE level.

Cell lengths 5.6989, 5.6989, 5.7362 Å; angles 90.00, 90.00, 90.00 degrees
Last column: nearest neighbours and their distance in Å.
Sites, in units of the cell vectors:
I 0.0000 0.5000 0.0000  2 In 2.85
I 0.5000 0.0000 0.0000  2 In 2.85
Sb 0.0000 0.0000 0.5000  2 In 2.87
In 0.0000 0.0000 0.0000  4 I 2.85, 2 Sb 2.87
Ta 0.5000 0.5000 0.5000  4 Sb 4.03, 8 I 4.04

## Properties
Spin magnetization: 2.4 μB per formula unit
DOS at the Fermi energy: 6.1 states/eV/cell
Energy: -0.1125 hartree per atom
Distance to the lowest polymorph of the same formula: 1036 meV/atom
Crystal system: tetragonal
Raw formation energy: 1.301 eV per atom

---

No. 7
Below is ZrCr2Fe after structural relaxation, with properties calculated at the PBE level.

Cell lengths 4.9233, 4.9233, 2.7257 Å; angles 90.00, 90.00, 121.61 degrees
Last column: nearest neighbours and their distance in Å.
Sites, in units of the cell vectors:
Cr 0.0000 0.0000 0.0000  2 Cr 2.40
Cr 0.5000 0.5000 0.0000  2 Cr 2.40
Fe 0.5000 0.0000 0.5000  2 Zr 2.40
Zr 0.0000 0.5000 0.5000  2 Fe 2.40

## Properties
ΔE_f: 0.53 eV per atom
Spin magnetization: 0.1 μB per formula unit
DOS at the Fermi energy: 5.4 states/eV/cell
Energy: -0.3135 hartree per atom
Distance to the lowest polymorph of the same formula: 401 meV/atom
Crystal system: orthorhombic

---

No. 8
Below is AsH after structural relaxation, with properties calculated at the PBE level.

Cell lengths 5.6347, 5.6347, 5.6347 Å; angles 90.00, 90.00, 90.00 degrees
Last column: nearest neighbours and their distance in Å.
Sites, in units of the cell vectors:
As 0.2500 0.5000 0.0000  4 H 1.99
As 0.7500 0.5000 0.0000  4 H 1.99
As 0.5000 0.0000 0.2500  4 H 1.99
As 0.5000 0.0000 0.7500  4 H 1.99
As 0.0000 0.2500 0.5000  4 H 1.99
As 0.0000 0.7500 0.5000  4 H 1.99
H 0.2500 0.0000 0.5000  4 As 1.99
H 0.7500 0.0000 0.5000  4 As 1.99
H 0.0000 0.5000 0.2500  4 As 1.99
H 0.0000 0.5000 0.7500  4 As 1.99
H 0.5000 0.2500 0.0000  4 As 1.99
H 0.5000 0.7500 0.0000  4 As 1.99

## Properties
Spin magnetization: 0.0 μB per formula unit
DOS at the Fermi energy: 5.4 states/eV/cell
Energy: -0.1166 hartree per atom
Distance to the lowest polymorph of the same formula: 773 meV/atom
Crystal system: cubic

---

no.,density (Mg/m³)
1,6.706
2,6.204
3,4.877
4,9.346
5,6.471
6,5.984
7,7.410
8,4.229